## PuSb2Te4 (PBE)

Data for a relaxed PuSb2Te4 crystal.

For the total magnetization, the calculation gives 5.79 μB per formula unit. Its total energy is -5.33 eV/atom. The value obtained for the uncorrected formation energy is -308 meV per atom.

The structure belongs to space group Cmcm (No. 63); the cell edges are 4.409, 14.397 and 14.764 Å and the angles 90.00°, 90.00° and 90.00°. The asymmetric unit holds Pu at (0.000, 0.119, 0.250), Sb at (0.000, 0.367, 0.068), Te at (0.000, 0.000, 0.000), Te at (0.000, 0.279, 0.621) and Te at (0.000, 0.465, 0.250).